# 1
{
  "formula": "KNpInF6",
  "functional": "GGA-PBE",
  "state": "relaxed",
  "lattice_angstrom": [[3.3390, -5.7942, 0.0000], [3.3390, 5.7942, 0.0000], [-0.0018, 0.0000, 5.0744]],
  "species": ["K", "Np", "In", "F", "F", "F", "F", "F", "F"],
  "frac_coords": [[0.0000, 0.0000, 0.0000], [0.6666, 0.3334, 0.5000], [0.3334, 0.6666, 0.5000], [0.3869, 0.0604, 0.7288], [0.3885, 0.3267, 0.2691], [0.6733, 0.6115, 0.7309], [0.6738, 0.0619, 0.2699], [0.9381, 0.3262, 0.7301], [0.9396, 0.6131, 0.2712]],
  "e_form_raw_ev_per_atom": -2.947,
  "sg": "C2 (5)"
}

# 2
{
  "formula": "KNpIn2F6",
  "functional": "GGA-PBE",
  "state": "relaxed",
  "lattice_angstrom": [[6.5579, 0.0000, 0.0000], [3.2579, 5.7011, 0.0000], [3.2352, 1.6457, 5.8001]],
  "species": ["K", "Np", "In", "In", "F", "F", "F", "F", "F", "F"],
  "frac_coords": [[0.0000, 0.0000, 0.0000], [0.5207, 0.5013, 0.4993], [0.2166, 0.2261, 0.2724], [0.7133, 0.7777, 0.7284], [0.2374, 0.8162, 0.3212], [0.3684, 0.6458, 0.8085], [0.3734, 0.1871, 0.6786], [0.7097, 0.7757, 0.3689], [0.8178, 0.3571, 0.1905], [0.8540, 0.2296, 0.6298]],
  "e_form_raw_ev_per_atom": -2.572,
  "sg": "P1 (1)"
}

# 3
{
  "formula": "KNpIn2F8",
  "functional": "GGA-PBE",
  "state": "relaxed",
  "lattice_angstrom": [[4.0652, 0.0000, 0.0000], [0.0000, 6.2913, 0.0000], [0.0000, 0.0000, 8.3627]],
  "species": ["K", "Np", "In", "In", "F", "F", "F", "F", "F", "F", "F", "F"],
  "frac_coords": [[0.0000, 0.0000, 0.0000], [0.0000, 0.0000, 0.5000], [0.5000, 0.5000, 0.2263], [0.5000, 0.5000, 0.7737], [0.0000, 0.2191, 0.2941], [0.0000, 0.2191, 0.7059], [0.0000, 0.7809, 0.2941], [0.0000, 0.7809, 0.7059], [0.5000, 0.1918, 0.5000], [0.5000, 0.2844, 0.0000], [0.5000, 0.7156, 0.0000], [0.5000, 0.8082, 0.5000]],
  "e_form_raw_ev_per_atom": -2.703,
  "sg": "Pmmm (47)"
}

# 4
{
  "formula": "KInP2F",
  "functional": "GGA-PBE",
  "state": "relaxed",
  "lattice_angstrom": [[4.7802, 0.0000, 0.0000], [0.0000, 4.7802, 0.0000], [0.0000, 0.0000, 4.8822]],
  "species": ["K", "In", "P", "P", "F"],
  "frac_coords": [[0.0000, 0.0000, 0.0000], [0.5000, 0.5000, 0.0000], [0.0000, 0.5000, 0.5000], [0.5000, 0.0000, 0.5000], [0.5000, 0.5000, 0.5000]],
  "e_form_raw_ev_per_atom": 0.094,
  "sg": "P4/mmm (123)"
}

# 5
{
  "formula": "KInPb2F8",
  "functional": "GGA-PBE",
  "state": "relaxed",
  "lattice_angstrom": [[4.3266, 0.0000, 0.0000], [0.0000, 8.0859, 0.0000], [-0.5757, 0.0000, 5.8094]],
  "species": ["K", "In", "Pb", "Pb", "F", "F", "F", "F", "F", "F", "F", "F"],
  "frac_coords": [[0.0000, 0.0000, 0.0000], [0.0000, 0.5000, 0.0000], [0.5000, 0.2497, 0.5000], [0.5000, 0.7503, 0.5000], [0.0424, 0.2973, 0.7622], [0.0424, 0.7027, 0.7622], [0.4360, 0.5000, 0.2099], [0.4806, 0.0000, 0.7295], [0.5194, 0.0000, 0.2705], [0.5640, 0.5000, 0.7901], [0.9576, 0.2973, 0.2378], [0.9576, 0.7027, 0.2378]],
  "e_form_raw_ev_per_atom": -2.503,
  "sg": "P2/m (10)"
}

# 6
{
  "formula": "K2InPbF8",
  "functional": "GGA-PBE",
  "state": "relaxed",
  "lattice_angstrom": [[3.9518, 0.0000, 0.0000], [0.0000, 7.7440, 0.0000], [-0.2500, 0.0000, 6.2421]],
  "species": ["K", "K", "In", "Pb", "F", "F", "F", "F", "F", "F", "F", "F"],
  "frac_coords": [[0.0000, 0.2399, 0.0000], [0.0000, 0.7601, 0.0000], [0.5000, 0.0000, 0.5000], [0.5000, 0.5000, 0.5000], [0.0010, 0.5000, 0.2932], [0.0326, 0.0000, 0.3025], [0.4770, 0.2355, 0.7046], [0.4770, 0.7645, 0.7046], [0.5230, 0.2355, 0.2954], [0.5230, 0.7645, 0.2954], [0.9674, 0.0000, 0.6975], [0.9990, 0.5000, 0.7068]],
  "e_form_raw_ev_per_atom": -2.460,
  "sg": "P2/m (10)"
}

- Number 5 is which compound?
  KInPb2F8